Entry from Alexandria: an optimized crystal structure of UAgPd6 (PBE).

a b c (Å): 4.108 4.108 7.936
angles (deg): 90.00 90.00 90.00
Site moments in Bohr magnetons follow the coordinates.
Fractional coordinates of all 8 atoms:
U1 0.000 0.000 0.500  0.98
Pd1 0.000 0.500 0.746  -0.04
Pd2 0.500 0.500 0.500  -0.04
Pd3 0.500 0.500 0.000  -0.01
Pd4 0.000 0.500 0.254  -0.04
Pd5 0.500 0.000 0.254  -0.04
Pd6 0.500 0.000 0.746  -0.04
Ag1 0.000 0.000 0.000  0.01

Output
For the density, the calculation gives 12.21 Mg/m³. As for the final energy: -6.0161 eV per atom. The space-group type is P4/mmm, No. 123. The crystal system is tetragonal. The value obtained for the total magnetization is 0.862 μB/f.u. Its energy of formation is -8.164 kcal/mol of atoms.